Computed, not measured: crystalline Na4AsPd3O8 at its relaxed geometry at the PBE level of DFT.

a = 12.1617 Å, b = 5.9059 Å, c = 6.2324 Å
α = 90.00°, β = 116.61°, γ = 90.00°
Space group C2/m (No. 12)
Unique sites:
Na  0.0000  0.0000  0.0000
Na  0.0000  0.5000  0.0000
Na  0.2500  0.2500  0.5000
As  0.0000  0.0000  0.5000
Pd  0.0000  0.5000  0.5000
Pd  0.2500  0.2500  0.0000
O  0.0329  0.2300  0.3306
O  0.1804  0.0000  0.7307
O  0.2353  0.0000  0.1986

Values from the calculation:
Theoretical density (g cm⁻³): 5.096
Formation energy from raw total energies (eV/atom): -1.069
D(E_F) (states/eV/f.u.): 2.258

Computed, not measured: crystalline NaPm2AsO5 at its relaxed geometry at the PBE level of DFT.

a = 6.7560 Å, b = 6.7560 Å, c = 11.9618 Å
α = 90.00°, β = 90.00°, γ = 90.00°
Space group I4/mcm (No. 140)
Unique sites:
Na  0.0000  0.0000  0.2500
Pm  0.1773  0.3227  0.0000
As  0.0000  0.5000  0.2500
O  0.0000  0.0000  0.0000
O  0.1407  0.3593  0.3746

Values from the calculation:
Theoretical density (g cm⁻³): 5.692
Formation energy from raw total energies (eV/atom): -2.250

Q: Which total magnetization values were calculated for the entries above? A: 0.9, 0.0, in μB per formula unit.